(i)
This record from Alexandria via LeMat-Bulk describes crystalline AlInOF2 at its relaxed geometry. The functional is PBE-GGA.

Cell: 4.232 4.232 3.554 Å, 90.00 90.00 90.00°
Fractional positions:
Al  0.000  0.000  0.000
In  0.500  0.500  0.500
O  0.000  0.000  0.500
F  0.000  0.500  0.000
F  0.500  0.000  0.000

## Properties
DOS(E_F) (states/eV/f.u.): 0.00
SG: P4/mmm

***

(ii)
This record from Alexandria via LeMat-Bulk describes crystalline AlInOF2 at its relaxed geometry. The functional is PBE-GGA.

Cell: 4.365 4.365 4.104 Å, 90.00 90.00 90.00°
Fractional positions:
Al  0.000  0.000  0.000
In  0.500  0.500  0.500
O  0.500  0.500  0.000
F  0.000  0.500  0.500
F  0.500  0.000  0.500

## Properties
DOS(E_F) (states/eV/f.u.): 0.00
SG: P4/mmm

***

Winner for stability: (i)

***

(i)
This record from Alexandria via LeMat-Bulk describes crystalline AlIr3F at its relaxed geometry. The functional is PBE-GGA.

Cell: 4.533 4.533 4.533 Å, 90.00 90.00 90.00°
Fractional positions:
Al  0.000  0.000  0.000
Ir  0.000  0.000  0.500
Ir  0.000  0.500  0.000
Ir  0.500  0.000  0.000
F  0.500  0.500  0.500

## Properties
DOS(E_F) (states/eV/f.u.): 7.14
SG: Pm-3m

***

(ii)
This record from Alexandria via LeMat-Bulk describes crystalline AlIr3F at its relaxed geometry. The functional is PBE-GGA.

Cell: 4.244 4.244 4.244 Å, 90.00 90.00 90.00°
Fractional positions:
Al  0.000  0.000  0.000
Ir  0.000  0.500  0.500
Ir  0.500  0.000  0.500
Ir  0.500  0.500  0.000
F  0.500  0.500  0.500

## Properties
DOS(E_F) (states/eV/f.u.): 5.05
SG: Pm-3m

***

Winner for stability: (ii)

***

(i)
This record from Alexandria via LeMat-Bulk describes crystalline AlIrN2F at its relaxed geometry. The functional is PBE-GGA.

Cell: 3.800 3.800 4.811 Å, 90.00 90.00 90.00°
Fractional positions:
Al  0.000  0.000  0.000
Ir  0.500  0.500  0.500
N  0.000  0.500  0.500
N  0.500  0.000  0.500
F  0.500  0.500  0.000

## Properties
DOS(E_F) (states/eV/f.u.): 1.92
SG: P4/mmm

***

(ii)
This record from Alexandria via LeMat-Bulk describes crystalline AlIrN2F at its relaxed geometry. The functional is PBE-GGA.

Cell: 3.904 3.904 3.358 Å, 90.00 90.00 90.00°
Fractional positions:
Al  0.000  0.000  0.000
Ir  0.500  0.500  0.500
N  0.000  0.500  0.000
N  0.500  0.000  0.000
F  0.000  0.000  0.500

## Properties
DOS(E_F) (states/eV/f.u.): 4.17
SG: P4/mmm

***

Winner for stability: (ii)

***

(i)
This record from Alexandria via LeMat-Bulk describes crystalline AlIrOF2 at its relaxed geometry. The functional is PBE-GGA.

Cell: 4.502 4.502 3.749 Å, 90.00 90.00 90.00°
Fractional positions:
Al  0.000  0.000  0.000
Ir  0.500  0.500  0.500
O  0.500  0.500  0.000
F  0.000  0.500  0.500
F  0.500  0.000  0.500

## Properties
DOS(E_F) (states/eV/f.u.): 2.39
SG: P4/mmm

***

(ii)
This record from Alexandria via LeMat-Bulk describes crystalline AlIrOF2 at its relaxed geometry. The functional is PBE-GGA.

Cell: 3.671 3.671 4.117 Å, 90.00 90.00 90.00°
Fractional positions:
Al  0.000  0.000  0.000
Ir  0.500  0.500  0.500
O  0.000  0.000  0.500
F  0.000  0.500  0.000
F  0.500  0.000  0.000

## Properties
DOS(E_F) (states/eV/f.u.): 2.39
SG: P4/mmm

***

Winner for stability: (ii)

***

(i)
This record from Alexandria via LeMat-Bulk describes crystalline K2AlF5 at its relaxed geometry. The functional is PBE-GGA.

Cell: 5.759 5.759 5.759 Å, 115.39 115.39 98.19°
Fractional positions:
K  0.000  0.500  0.500
K  0.500  0.000  0.500
Al  0.229  0.229  0.000
F  0.001  0.001  0.000
F  0.079  0.079  0.599
F  0.079  0.481  0.000
F  0.481  0.079  0.000
F  0.481  0.481  0.401

## Properties
DOS(E_F) (states/eV/f.u.): 0.00
SG: I4mm

***

(ii)
This record from Alexandria via LeMat-Bulk describes crystalline K2AlF5 at its relaxed geometry. The functional is PBE-GGA.

Cell: 6.022 6.022 3.751 Å, 90.00 90.00 90.00°
Fractional positions:
K  0.000  0.500  0.000
K  0.500  0.000  0.000
Al  0.000  0.000  0.500
F  0.000  0.000  0.000
F  0.213  0.213  0.500
F  0.213  0.787  0.500
F  0.787  0.213  0.500
F  0.787  0.787  0.500

## Properties
DOS(E_F) (states/eV/f.u.): 0.00
SG: P4/mmm

***

Winner for stability: (ii)

***

(i)
This record from Alexandria via LeMat-Bulk describes crystalline KAl3F at its relaxed geometry. The functional is PBE-GGA.

Cell: 4.893 4.893 4.893 Å, 90.00 90.00 90.00°
Fractional positions:
K  0.000  0.000  0.000
Al  0.000  0.500  0.500
Al  0.500  0.000  0.500
Al  0.500  0.500  0.000
F  0.500  0.500  0.500

## Properties
DOS(E_F) (states/eV/f.u.): 2.49
SG: Pm-3m

***

(ii)
This record from Alexandria via LeMat-Bulk describes crystalline KAl3F at its relaxed geometry. The functional is PBE-GGA.

Cell: 6.191 6.191 6.191 Å, 90.00 90.00 90.00°
Fractional positions:
K  0.000  0.000  0.000
Al  0.000  0.000  0.500
Al  0.000  0.500  0.000
Al  0.500  0.000  0.000
F  0.500  0.500  0.500

## Properties
DOS(E_F) (states/eV/f.u.): 5.88
SG: Pm-3m

***

Winner for stability: (i)